# ZrBi2W | Alexandria via LeMat-Bulk | GGA-PBE | relaxed
data_ZrBi2W
_cell_length_a 4.393
_cell_length_b 4.393
_cell_length_c 20.784
_cell_angle_alpha 90.00
_cell_angle_beta 90.00
_cell_angle_gamma 90.00
_symmetry_space_group_name_H-M 'I -4 2 d'
_symmetry_Int_Tables_number 122
_symmetry_space_group_name_Hall 'I -4 2bw'
loop_
_atom_site_label
_atom_site_fract_x
_atom_site_fract_y
_atom_site_fract_z
Zr1 0.000 0.000 0.000
Bi1 0.243 0.250 0.625
W1 0.000 0.000 0.500
# Energy above the most stable polymorph in this dataset (meV/atom): 388
# E_form (eV per atom): 0.832
# DFT total energy (eV/atom): -6.48

---

# ZrBiW3 | Alexandria via LeMat-Bulk | GGA-PBE | relaxed
data_ZrBiW3
_cell_length_a 4.917
_cell_length_b 4.917
_cell_length_c 4.917
_cell_angle_alpha 90.00
_cell_angle_beta 90.00
_cell_angle_gamma 90.00
_symmetry_space_group_name_H-M 'P m -3 m'
_symmetry_Int_Tables_number 221
_symmetry_space_group_name_Hall '-P 4 2 3'
loop_
_atom_site_label
_atom_site_fract_x
_atom_site_fract_y
_atom_site_fract_z
Zr1 0.000 0.000 0.000
Bi1 0.500 0.500 0.500
W1 0.000 0.000 0.500
# Energy above the most stable polymorph in this dataset (meV/atom): 0
# E_form (eV per atom): 2.379
# DFT total energy (eV/atom): -7.88

---

# YBi3 | Alexandria via LeMat-Bulk | GGA-PBE | relaxed
data_YBi3
_cell_length_a 4.603
_cell_length_b 11.204
_cell_length_c 4.722
_cell_angle_alpha 90.00
_cell_angle_beta 90.00
_cell_angle_gamma 90.00
_symmetry_space_group_name_H-M 'I m m 2'
_symmetry_Int_Tables_number 44
loop_
_symmetry_equiv_pos_as_xyz
'x,y,z'
'-x,-y,z'
'-x,y,z'
'x,-y,z'
'x+1/2,y+1/2,z+1/2'
'-x+1/2,-y+1/2,z+1/2'
'-x+1/2,y+1/2,z+1/2'
'x+1/2,-y+1/2,z+1/2'
loop_
_atom_site_label
_atom_site_fract_x
_atom_site_fract_y
_atom_site_fract_z
Y1 0.000 0.000 0.000
Bi1 0.000 0.247 0.502
Bi2 0.000 0.500 0.000
# E_form (eV per atom): -0.360
# DFT total energy (eV/atom): -4.89

---

# YBi3 | Alexandria via LeMat-Bulk | GGA-PBE | relaxed
data_YBi3
_cell_length_a 4.539
_cell_length_b 6.324
_cell_length_c 4.690
_cell_angle_alpha 90.00
_cell_angle_beta 90.00
_cell_angle_gamma 90.00
_symmetry_space_group_name_H-M 'P m m 2'
_symmetry_Int_Tables_number 25
loop_
_symmetry_equiv_pos_as_xyz
'x,y,z'
'-x,-y,z'
'-x,y,z'
'x,-y,z'
loop_
_atom_site_label
_atom_site_fract_x
_atom_site_fract_y
_atom_site_fract_z
Y1 0.000 0.000 0.000
Bi1 0.000 0.500 0.841
Bi2 0.500 0.000 0.487
Bi3 0.500 0.500 0.284
# E_form (eV per atom): -0.380
# DFT total energy (eV/atom): -4.91

---

# YBi2 | Alexandria via LeMat-Bulk | GGA-PBE | relaxed
data_YBi2
_cell_length_a 5.849
_cell_length_b 5.831
_cell_length_c 6.014
_cell_angle_alpha 90.00
_cell_angle_beta 118.96
_cell_angle_gamma 90.00
_symmetry_space_group_name_H-M 'C 1 2/m 1'
_symmetry_Int_Tables_number 12
loop_
_symmetry_equiv_pos_as_xyz
'x,y,z'
'-x,-y,-z'
'-x,y,-z'
'x,-y,z'
'x+1/2,y+1/2,z'
'-x+1/2,-y+1/2,-z'
'-x+1/2,y+1/2,-z'
'x+1/2,-y+1/2,z'
loop_
_atom_site_label
_atom_site_fract_x
_atom_site_fract_y
_atom_site_fract_z
Y1 0.000 0.000 0.000
Bi1 0.152 0.500 0.305
# E_form (eV per atom): -0.512
# DFT total energy (eV/atom): -5.25

---

# YBi3 | Alexandria via LeMat-Bulk | GGA-PBE | relaxed
data_YBi3
_cell_length_a 6.8921
_cell_length_b 6.8921
_cell_length_c 5.9392
_cell_angle_alpha 90.00
_cell_angle_beta 90.00
_cell_angle_gamma 120.00
_symmetry_space_group_name_H-M 'P 63/m m c'
_symmetry_Int_Tables_number 194
_symmetry_space_group_name_Hall '-P 6c 2c'
loop_
_atom_site_label
_atom_site_fract_x
_atom_site_fract_y
_atom_site_fract_z
Y1 0.3333 0.6667 0.2500
Bi1 0.1740 0.3481 0.7500
# E_form (eV per atom): -0.344
# DFT total energy (eV/atom): -4.87

---

no.,total moment (Bohr magnetons per cell),mass density (g cm⁻³)
1,0.2,11.478
2,0.0,11.895
3,0.0,9.763
4,0.0,8.829
5,0.0,9.381
6,0.0,9.730